1.
Density functional theory data (PBE) for a relaxed structure of Pb2SeBr.

a b c (Å): 5.9983 3.9523 6.1247
angles (deg): 69.41 90.00 90.00
With the nearest neighbours (Å) after each atom.
Atoms (fractional coordinates):
Se (0.0000, 0.3818, 0.3615)  4 Pb 2.81-3.00
Pb (0.5000, 0.3943, 0.3298)  2 Se 3.00, 3 Br 3.06-3.35
Pb (0.0000, 0.0735, 0.0117)  2 Se 2.81-2.82
Br (0.5000, 0.6504, 0.7971)  3 Pb 3.06-3.35

Summary:
Formation energy (no corrections)   -1.7 eV/f.u.
Space-group type   Pm, No. 6
Energy above the most stable polymorph in this dataset   66.2 meV per atom

---

2.
Density functional theory data (PBE) for a relaxed structure of Pb2SeBr.

a b c (Å): 4.0522 4.0522 9.0280
angles (deg): 77.03 77.03 60.00
With the nearest neighbours (Å) after each atom.
Atoms (fractional coordinates):
Pb (0.2579, 0.2579, 0.2264)  3 Se 3.09-3.10, 3 Br 3.38
Pb (0.0754, 0.0754, 0.7738)  3 Se 3.03, 3 Br 3.31
Br (0.4980, 0.4980, 0.5059)  6 Pb 3.31-3.38
Se (0.6687, 0.6687, 0.9940)  6 Pb 3.03-3.10

Summary:
Formation energy (no corrections)   -2.0 eV/f.u.
Space-group type   R3m, No. 160
Energy above the most stable polymorph in this dataset   11.9 meV per atom

---

3.
Density functional theory data (PBE) for a relaxed structure of PbSeBr.

a b c (Å): 5.1607 5.1607 5.1607
angles (deg): 60.00 60.00 60.00
With the nearest neighbours (Å) after each atom.
Atoms (fractional coordinates):
Br (0.5000, 0.5000, 0.5000)  4 Pb 3.16
Pb (0.7500, 0.7500, 0.7500)  4 Br 3.16, 4 Se 3.16
Se (0.0000, 0.0000, 0.0000)  4 Pb 3.16

Summary:
Formation energy (no corrections)   -0.8 eV/f.u.
Space-group type   F-43m, No. 216
Energy above the most stable polymorph in this dataset   274.1 meV per atom

---

4.
Density functional theory data (PBE) for a relaxed structure of Pb2SeBr.

a b c (Å): 4.8066 4.8066 7.3778
angles (deg): 77.38 77.38 49.33
With the nearest neighbours (Å) after each atom.
Atoms (fractional coordinates):
Br (0.2500, 0.2500, 0.2500)  6 Pb 3.30-3.35
Pb (0.0086, 0.0086, 0.9678)  3 Se 3.07, 3 Br 3.30-3.35
Se (0.7500, 0.7500, 0.7500)  6 Pb 3.07
Pb (0.4914, 0.4914, 0.5322)  3 Se 3.07, 3 Br 3.30-3.35

Summary:
Formation energy (no corrections)   -2.0 eV/f.u.
Space-group type   C2/m, No. 12
Energy above the most stable polymorph in this dataset   0.0 meV per atom

---

5.
Density functional theory data (PBE) for a relaxed structure of Pb2SeBr.

a b c (Å): 3.8017 3.8017 7.8276
angles (deg): 90.00 90.00 90.00
With the nearest neighbours (Å) after each atom.
Atoms (fractional coordinates):
Br (0.5000, 0.5000, 0.7500)  8 Pb 3.46, 4 Br 3.80
Se (0.5000, 0.5000, 0.2500)  8 Pb 3.20
Pb (0.0000, 0.0000, 0.0277)  4 Se 3.20, 4 Br 3.46, 1 Pb 3.48
Pb (0.0000, 0.0000, 0.4723)  4 Se 3.20, 4 Br 3.46, 1 Pb 3.48

Summary:
Formation energy (no corrections)   -1.7 eV/f.u.
Space-group type   P4/mmm, No. 123
Energy above the most stable polymorph in this dataset   75.3 meV per atom

---

6.
Density functional theory data (PBE) for a relaxed structure of Pb2SeBr.

a b c (Å): 8.9447 8.9447 8.9447
angles (deg): 26.34 26.34 26.34
With the nearest neighbours (Å) after each atom.
Atoms (fractional coordinates):
Pb (0.4926, 0.4926, 0.4926)  3 Se 3.07, 3 Br 3.33
Pb (0.0074, 0.0074, 0.0074)  3 Se 3.07, 3 Br 3.33
Br (0.2500, 0.2500, 0.2500)  6 Pb 3.33
Se (0.7500, 0.7500, 0.7500)  6 Pb 3.07

Summary:
Formation energy (no corrections)   -2.0 eV/f.u.
Space-group type   R-3m, No. 166
Energy above the most stable polymorph in this dataset   3.8 meV per atom